1.
Compound: Be2AsPdPt
Source: Alexandria
Functional: GGA-PBE
Structure: relaxed

Calculated values
The calculation puts the calculated formation energy at 2.22 eV per formula unit.

```
data_Be2AsPdPt
_chemical_formula_sum 'Be2 As1 Pd1 Pt1'
_symmetry_space_group_name_H-M 'P 1'
_symmetry_Int_Tables_number 1
_symmetry_space_group_name_Hall 'P 1'
_cell_length_a 4.149
_cell_length_b 4.149
_cell_length_c 5.123
_cell_angle_alpha 90.00
_cell_angle_beta 90.00
_cell_angle_gamma 90.00
loop_
_atom_site_label
_atom_site_fract_x
_atom_site_fract_y
_atom_site_fract_z
Be1 0.000 0.500 0.000
Be2 0.500 0.000 0.000
As1 0.000 0.000 0.500
Pd1 0.500 0.500 0.500
Pt1 0.500 0.500 0.000
```



2.
Compound: BeAsPd2Rh
Source: Alexandria
Functional: GGA-PBE
Structure: relaxed

Calculated values
The calculation puts the calculated formation energy at 2.73 eV per formula unit.

```
data_BeAsPd2Rh
_chemical_formula_sum 'Be1 As1 Pd2 Rh1'
_symmetry_space_group_name_H-M 'P 1'
_symmetry_Int_Tables_number 1
_symmetry_space_group_name_Hall 'P 1'
_cell_length_a 4.643
_cell_length_b 4.643
_cell_length_c 4.032
_cell_angle_alpha 90.00
_cell_angle_beta 90.00
_cell_angle_gamma 90.00
loop_
_atom_site_label
_atom_site_fract_x
_atom_site_fract_y
_atom_site_fract_z
Be1 0.000 0.000 0.000
As1 0.000 0.000 0.500
Pd1 0.000 0.500 0.500
Pd2 0.500 0.000 0.500
Rh1 0.500 0.500 0.000
```